Record 1
First-principles (GGA-PBE) data for a geometry-optimized Zr3Ag2 structure, as listed in the Alexandria database.

DFT formation energy in eV per atom: -0.02
Total magnetic moment in μB per formula unit: 0.00

Unit cell a=5.389 b=5.389 c=7.528 alpha=119.90 beta=119.90 gamma=34.31
Sites, in units of the cell vectors:
Zr1 0.000 0.000 0.000
Zr2 0.185 0.185 0.792
Zr3 0.815 0.815 0.208
Ag1 0.389 0.389 0.594
Ag2 0.611 0.611 0.406


Record 2
First-principles (GGA-PBE) data for a geometry-optimized Zr2Ag3 structure, as listed in the Alexandria database.

DFT formation energy in eV per atom: -0.05
Total magnetic moment in μB per formula unit: 0.00

Unit cell a=10.864 b=10.864 c=10.864 alpha=163.74 beta=163.74 gamma=23.07
Sites, in units of the cell vectors:
Zr1 0.197 0.197 0.000
Zr2 0.803 0.803 0.000
Ag1 0.000 0.000 0.000
Ag2 0.407 0.407 0.000
Ag3 0.593 0.593 0.000


Record 3
First-principles (GGA-PBE) data for a geometry-optimized Zr2Ag3 structure, as listed in the Alexandria database.

DFT formation energy in eV per atom: 0.30
Total magnetic moment in μB per formula unit: 0.00

Unit cell a=4.626 b=4.626 c=6.134 alpha=90.00 beta=90.00 gamma=120.00
Sites, in units of the cell vectors:
Zr1 0.333 0.667 0.334
Zr2 0.667 0.333 0.666
Ag1 0.000 0.000 0.500
Ag2 0.333 0.667 0.861
Ag3 0.667 0.333 0.139


Record 4
First-principles (GGA-PBE) data for a geometry-optimized ZrAg5 structure, as listed in the Alexandria database.

DFT formation energy in eV per atom: 0.10
Total magnetic moment in μB per formula unit: 0.00

Unit cell a=5.446 b=5.446 c=5.446 alpha=60.00 beta=60.00 gamma=60.00
Sites, in units of the cell vectors:
Zr1 0.000 0.000 0.000
Ag1 0.126 0.625 0.625
Ag2 0.250 0.250 0.250
Ag3 0.625 0.126 0.625
Ag4 0.625 0.625 0.126
Ag5 0.625 0.625 0.625


Record 5
First-principles (GGA-PBE) data for a geometry-optimized ZrAg2 structure, as listed in the Alexandria database.

DFT formation energy in eV per atom: 0.14
Total magnetic moment in μB per formula unit: 0.00

Unit cell a=9.647 b=9.647 c=9.647 alpha=162.72 beta=152.13 gamma=32.98
Sites, in units of the cell vectors:
Zr1 0.363 0.113 0.250
Zr2 0.637 0.887 0.750
Ag1 0.063 0.313 0.750
Ag2 0.212 0.462 0.750
Ag3 0.788 0.538 0.250
Ag4 0.937 0.687 0.250


Record 6
First-principles (GGA-PBE) data for a geometry-optimized Zr2Ag3 structure, as listed in the Alexandria database.

DFT formation energy in eV per atom: 0.00
Total magnetic moment in μB per formula unit: 0.00

Unit cell a=5.281 b=5.281 c=7.346 alpha=122.31 beta=122.31 gamma=36.12
Sites, in units of the cell vectors:
Zr1 0.197 0.197 0.293
Zr2 0.803 0.803 0.707
Ag1 0.000 0.000 0.500
Ag2 0.400 0.400 0.109
Ag3 0.600 0.600 0.891


Record 7
First-principles (GGA-PBE) data for a geometry-optimized ZrAg2 structure, as listed in the Alexandria database.

DFT formation energy in eV per atom: -0.03
Total magnetic moment in μB per formula unit: 0.00

Unit cell a=5.198 b=5.198 c=5.198 alpha=139.80 beta=139.80 gamma=58.15
Sites, in units of the cell vectors:
Zr1 0.000 0.000 0.000
Ag1 0.328 0.328 0.000
Ag2 0.672 0.672 0.000


Record 8
First-principles (GGA-PBE) data for a geometry-optimized ZrAg2 structure, as listed in the Alexandria database.

DFT formation energy in eV per atom: 0.08
Total magnetic moment in μB per formula unit: 0.00

Unit cell a=14.035 b=14.035 c=14.035 alpha=167.91 beta=167.91 gamma=17.13
Sites, in units of the cell vectors:
Zr1 0.375 0.625 0.750
Zr2 0.625 0.375 0.250
Ag1 0.045 0.795 0.250
Ag2 0.205 0.955 0.250
Ag3 0.795 0.045 0.750
Ag4 0.955 0.205 0.750


Record 9
First-principles (GGA-PBE) data for a geometry-optimized ZrAg5 structure, as listed in the Alexandria database.

DFT formation energy in eV per atom: 0.05
Total magnetic moment in μB per formula unit: 0.00

Unit cell a=5.127 b=5.127 c=6.323 alpha=106.31 beta=106.31 gamma=45.18
Sites, in units of the cell vectors:
Zr1 0.000 0.000 0.000
Ag1 0.000 0.000 0.500
Ag2 0.331 0.331 0.169
Ag3 0.336 0.336 0.663
Ag4 0.664 0.664 0.337
Ag5 0.669 0.669 0.831


Record 10
First-principles (GGA-PBE) data for a geometry-optimized Zr4Ag structure, as listed in the Alexandria database.

DFT formation energy in eV per atom: 0.05
Total magnetic moment in μB per formula unit: 0.00

Unit cell a=12.953 b=12.953 c=12.953 alpha=14.03 beta=14.03 gamma=14.03
Sites, in units of the cell vectors:
Zr1 0.102 0.102 0.102
Zr2 0.299 0.299 0.299
Zr3 0.701 0.701 0.701
Zr4 0.898 0.898 0.898
Ag1 0.500 0.500 0.500


Record 11
First-principles (GGA-PBE) data for a geometry-optimized Zr2Ag3 structure, as listed in the Alexandria database.

DFT formation energy in eV per atom: 0.05
Total magnetic moment in μB per formula unit: 0.00

Unit cell a=12.747 b=12.747 c=12.747 alpha=13.63 beta=13.63 gamma=13.63
Sites, in units of the cell vectors:
Zr1 0.205 0.205 0.205
Zr2 0.795 0.795 0.795
Ag1 0.000 0.000 0.000
Ag2 0.396 0.396 0.396
Ag3 0.604 0.604 0.604


Record 12
First-principles (GGA-PBE) data for a geometry-optimized Zr3Ag4 structure, as listed in the Alexandria database.

DFT formation energy in eV per atom: -0.08
Total magnetic moment in μB per formula unit: 0.39

Unit cell a=11.490 b=11.490 c=11.490 alpha=162.34 beta=162.34 gamma=25.07
Sites, in units of the cell vectors:
Zr1 0.000 0.000 0.000
Zr2 0.292 0.292 0.000
Zr3 0.708 0.708 0.000
Ag1 0.137 0.137 0.000
Ag2 0.429 0.429 0.000
Ag3 0.571 0.571 0.000
Ag4 0.863 0.863 0.000


Record 13
First-principles (GGA-PBE) data for a geometry-optimized ZrAg5 structure, as listed in the Alexandria database.

DFT formation energy in eV per atom: 0.02
Total magnetic moment in μB per formula unit: 0.00

Unit cell a=2.980 b=2.980 c=12.607 alpha=90.00 beta=90.00 gamma=90.00
Sites, in units of the cell vectors:
Zr1 0.000 0.000 0.000
Ag1 0.000 0.000 0.339
Ag2 0.000 0.000 0.661
Ag3 0.500 0.500 0.176
Ag4 0.500 0.500 0.500
Ag5 0.500 0.500 0.824


Record 14
First-principles (GGA-PBE) data for a geometry-optimized Zr4Ag structure, as listed in the Alexandria database.

DFT formation energy in eV per atom: 0.95
Total magnetic moment in μB per formula unit: 1.17

Unit cell a=5.133 b=5.133 c=5.133 alpha=90.00 beta=90.00 gamma=90.00
Sites, in units of the cell vectors:
Zr1 0.000 0.000 0.000
Zr2 0.000 0.500 0.500
Zr3 0.500 0.000 0.500
Zr4 0.500 0.500 0.000
Ag1 0.500 0.500 0.500


Record 15
First-principles (GGA-PBE) data for a geometry-optimized ZrAg5 structure, as listed in the Alexandria database.

DFT formation energy in eV per atom: 0.02
Total magnetic moment in μB per formula unit: 0.00

Unit cell a=5.176 b=5.176 c=8.399 alpha=114.46 beta=114.46 gamma=33.40
Sites, in units of the cell vectors:
Zr1 0.000 0.000 0.000
Ag1 0.000 0.000 0.500
Ag2 0.330 0.330 0.171
Ag3 0.334 0.334 0.662
Ag4 0.666 0.666 0.338
Ag5 0.670 0.670 0.829


Record 16
First-principles (GGA-PBE) data for a geometry-optimized Zr2Ag3 structure, as listed in the Alexandria database.

DFT formation energy in eV per atom: -0.02
Total magnetic moment in μB per formula unit: 0.00

Unit cell a=8.128 b=8.128 c=8.128 alpha=159.14 beta=149.29 gamma=37.41
Sites, in units of the cell vectors:
Zr1 0.104 0.104 0.000
Zr2 0.896 0.896 0.000
Ag1 0.298 0.298 0.000
Ag2 0.500 0.500 0.000
Ag3 0.702 0.702 0.000


Record 17
First-principles (GGA-PBE) data for a geometry-optimized Zr3Ag2 structure, as listed in the Alexandria database.

DFT formation energy in eV per atom: 0.05
Total magnetic moment in μB per formula unit: 0.00

Unit cell a=12.466 b=12.466 c=12.466 alpha=14.60 beta=14.60 gamma=14.60
Sites, in units of the cell vectors:
Zr1 0.000 0.000 0.000
Zr2 0.404 0.404 0.404
Zr3 0.596 0.596 0.596
Ag1 0.198 0.198 0.198
Ag2 0.802 0.802 0.802


Record 18
First-principles (GGA-PBE) data for a geometry-optimized Zr4Ag structure, as listed in the Alexandria database.

DFT formation energy in eV per atom: 0.83
Total magnetic moment in μB per formula unit: 1.84

Unit cell a=5.541 b=5.541 c=5.541 alpha=109.47 beta=109.47 gamma=109.47
Sites, in units of the cell vectors:
Zr1 0.000 0.000 0.500
Zr2 0.000 0.500 0.000
Zr3 0.500 0.000 0.000
Zr4 0.500 0.500 0.500
Ag1 0.000 0.000 0.000


Record 19
First-principles (GGA-PBE) data for a geometry-optimized Zr2Ag3 structure, as listed in the Alexandria database.

DFT formation energy in eV per atom: 0.08
Total magnetic moment in μB per formula unit: 0.00

Unit cell a=12.504 b=12.504 c=12.504 alpha=14.01 beta=14.01 gamma=14.01
Sites, in units of the cell vectors:
Zr1 0.098 0.098 0.098
Zr2 0.902 0.902 0.902
Ag1 0.302 0.302 0.302
Ag2 0.500 0.500 0.500
Ag3 0.698 0.698 0.698


Record 20
First-principles (GGA-PBE) data for a geometry-optimized ZrAg5 structure, as listed in the Alexandria database.

DFT formation energy in eV per atom: 0.05
Total magnetic moment in μB per formula unit: 0.00

Unit cell a=5.797 b=5.797 c=7.175 alpha=106.27 beta=106.27 gamma=29.20
Sites, in units of the cell vectors:
Zr1 0.000 0.000 0.000
Ag1 0.284 0.284 0.085
Ag2 0.341 0.341 0.661
Ag3 0.630 0.630 0.740
Ag4 0.671 0.671 0.344
Ag5 0.958 0.958 0.405